Crystalline Na2AgGeF8 at its relaxed geometry, computed with PBE-GGA.

Computed properties:
formation energy (no corrections) = -2278 meV/atom
SG = P2/m

a = 4.9971 Å, b = 6.9013 Å, c = 5.0020 Å
α = 90.00°, β = 92.73°, γ = 90.00°
Fractional coordinates of all 12 atoms:
Na: 0.0000 0.2428 0.0000
Na: 0.0000 0.7572 0.0000
Ag: 0.5000 0.5000 0.5000
Ge: 0.5000 0.0000 0.5000
F: 0.2063 0.5000 0.2041
F: 0.2367 0.0000 0.2354
F: 0.3229 0.1931 0.6758
F: 0.3229 0.8069 0.6758
F: 0.6771 0.1931 0.3242
F: 0.6771 0.8069 0.3242
F: 0.7633 0.0000 0.7646
F: 0.7937 0.5000 0.7959

Crystalline Ta2AlCd at its relaxed geometry, computed with PBE-GGA.

Computed properties:
ΔH_f (0 K) = 1.20 eV per formula unit
SG = P4/mmm
energy relative to the lowest polymorph listed for this composition = 278 meV per atom

a = 5.0156 Å, b = 5.0156 Å, c = 2.8726 Å
α = 90.00°, β = 90.00°, γ = 90.00°
Fractional coordinates of all 4 atoms:
Ta: 0.0000 0.5000 0.0000
Ta: 0.5000 0.0000 0.0000
Al: 0.0000 0.0000 0.5000
Cd: 0.5000 0.5000 0.5000

Crystalline TlTeS2Cl at its relaxed geometry, computed with PBE-GGA.

Computed properties:
formation energy (no corrections) = -110 meV/atom
SG = P4/mmm
energy relative to the lowest polymorph listed for this composition = 168 meV per atom

a = 5.1441 Å, b = 5.1441 Å, c = 5.4024 Å
α = 90.00°, β = 90.00°, γ = 90.00°
Fractional coordinates of all 5 atoms:
Tl: 0.0000 0.0000 0.0000
Te: 0.5000 0.5000 0.5000
S: 0.0000 0.5000 0.5000
S: 0.5000 0.0000 0.5000
Cl: 0.5000 0.5000 0.0000

Crystalline MgReAu at its relaxed geometry, computed with PBE-GGA.

Computed properties:
ΔH_f (0 K) = 0.56 eV per formula unit
SG = I4mm
energy relative to the lowest polymorph listed for this composition = 0 meV per atom

a = 6.8540 Å, b = 6.8540 Å, c = 6.8540 Å
α = 156.92°, β = 156.92°, γ = 32.87°
Fractional coordinates of all 3 atoms:
Mg: 0.0000 0.0000 0.0000
Re: 0.6633 0.6633 0.0000
Au: 0.3321 0.3321 0.0000

Crystalline TiCo2Tc2 at its relaxed geometry, computed with PBE-GGA.

Computed properties:
ΔH_f (0 K) = -0.09 eV per formula unit
SG = P4/mbm
energy relative to the lowest polymorph listed for this composition = 0 meV per atom

a = 7.1693 Å, b = 7.1693 Å, c = 2.6150 Å
α = 90.00°, β = 90.00°, γ = 90.00°
Fractional coordinates of all 10 atoms:
Ti: 0.0000 0.0000 0.0000
Ti: 0.5000 0.5000 0.0000
Co: 0.1188 0.3812 0.0000
Co: 0.3812 0.8812 0.0000
Co: 0.6188 0.1188 0.0000
Co: 0.8812 0.6188 0.0000
Tc: 0.1768 0.6768 0.5000
Tc: 0.3232 0.1768 0.5000
Tc: 0.6768 0.8232 0.5000
Tc: 0.8232 0.3232 0.5000

Crystalline La2Nd5AlZn2 at its relaxed geometry, computed with PBE-GGA.

Computed properties:
ΔH_f (0 K) = -1.65 eV per formula unit
SG = P4/mbm

a = 12.6117 Å, b = 12.6117 Å, c = 3.8635 Å
α = 90.00°, β = 90.00°, γ = 90.00°
Fractional coordinates of all 20 atoms:
La: 0.1822 0.3178 0.0000
La: 0.3178 0.8178 0.0000
La: 0.6822 0.1822 0.0000
La: 0.8178 0.6822 0.0000
Nd: 0.0000 0.5000 0.5000
Nd: 0.0524 0.8033 0.5000
Nd: 0.1967 0.0524 0.5000
Nd: 0.3033 0.5524 0.5000
Nd: 0.4476 0.3033 0.5000
Nd: 0.5000 0.0000 0.5000
Nd: 0.5524 0.6967 0.5000
Nd: 0.6967 0.4476 0.5000
Nd: 0.8033 0.9476 0.5000
Nd: 0.9476 0.1967 0.5000
Al: 0.0000 0.0000 0.0000
Al: 0.5000 0.5000 0.0000
Zn: 0.1301 0.6301 0.0000
Zn: 0.3699 0.1301 0.0000
Zn: 0.6301 0.8699 0.0000
Zn: 0.8699 0.3699 0.0000

Crystalline YPOs at its relaxed geometry, computed with PBE-GGA.

Computed properties:
ΔH_f (0 K) = 2.10 eV per formula unit
SG = F-43m

a = 4.5391 Å, b = 4.5391 Å, c = 4.5391 Å
α = 60.00°, β = 60.00°, γ = 60.00°
Fractional coordinates of all 3 atoms:
Y: 0.0000 0.0000 0.0000
P: 0.7500 0.7500 0.7500
Os: 0.2500 0.2500 0.2500

Crystalline CaPmSn4 at its relaxed geometry, computed with PBE-GGA.

Computed properties:
ΔH_f (0 K) = -1.24 eV per formula unit
SG = C2/m
energy relative to the lowest polymorph listed for this composition = 286 meV per atom

a = 5.1739 Å, b = 5.1739 Å, c = 8.6583 Å
α = 108.14°, β = 108.14°, γ = 67.06°
Fractional coordinates of all 6 atoms:
Ca: 0.0000 0.0000 0.0000
Pm: 0.5000 0.5000 0.5000
Sn: 0.0991 0.0991 0.3937
Sn: 0.3930 0.3930 0.1011
Sn: 0.6070 0.6070 0.8989
Sn: 0.9009 0.9009 0.6063